# 1
# Pa2GaBr8 | the Alexandria database | PBE | optimized geometry
data_Pa2GaBr8
_cell_length_a 7.991
_cell_length_b 7.991
_cell_length_c 8.712
_cell_angle_alpha 94.18
_cell_angle_beta 94.18
_cell_angle_gamma 105.06
_space_group_name_H-M_alt 'P 1'
_space_group_IT_number 1
loop_
_space_group_symop_operation_xyz
'x,y,z'
loop_
_atom_site_label
_atom_site_type_symbol
_atom_site_fract_x
_atom_site_fract_y
_atom_site_fract_z
Pa1 Pa 0.139 0.139 0.332
Pa2 Pa 0.861 0.861 0.668
Ga1 Ga 0.000 0.000 0.000
Br1 Br 0.104 0.698 0.753
Br2 Br 0.167 0.167 0.660
Br3 Br 0.302 0.896 0.247
Br4 Br 0.394 0.394 0.243
Br5 Br 0.606 0.606 0.757
Br6 Br 0.698 0.104 0.753
Br7 Br 0.833 0.833 0.340
Br8 Br 0.896 0.302 0.247
# E_form (uncorrected) = -1.140 eV per atom

---

# 2
# RbPaGaBr6 | the Alexandria database | PBE | optimized geometry
data_RbPaGaBr6
_cell_length_a 7.862
_cell_length_b 7.862
_cell_length_c 14.495
_cell_angle_alpha 90.00
_cell_angle_beta 90.00
_cell_angle_gamma 120.00
_space_group_name_H-M_alt 'P 1'
_space_group_IT_number 1
loop_
_space_group_symop_operation_xyz
'x,y,z'
loop_
_atom_site_label
_atom_site_type_symbol
_atom_site_fract_x
_atom_site_fract_y
_atom_site_fract_z
Rb1 Rb 0.000 0.000 0.000
Rb2 Rb 0.000 0.000 0.500
Pa1 Pa 0.333 0.667 0.250
Pa2 Pa 0.667 0.333 0.750
Ga1 Ga 0.333 0.667 0.750
Ga2 Ga 0.667 0.333 0.250
Br1 Br 0.030 0.383 0.139
Br2 Br 0.030 0.647 0.361
Br3 Br 0.353 0.383 0.361
Br4 Br 0.353 0.970 0.139
Br5 Br 0.383 0.030 0.639
Br6 Br 0.383 0.353 0.861
Br7 Br 0.617 0.647 0.139
Br8 Br 0.617 0.970 0.361
Br9 Br 0.647 0.030 0.861
Br10 Br 0.647 0.617 0.639
Br11 Br 0.970 0.353 0.639
Br12 Br 0.970 0.617 0.861
# E_form (uncorrected) = -1.368 eV per atom

---

# 3
# PaTlGaBr6 | the Alexandria database | PBE | optimized geometry
data_PaTlGaBr6
_cell_length_a 7.810
_cell_length_b 7.810
_cell_length_c 13.884
_cell_angle_alpha 90.00
_cell_angle_beta 90.00
_cell_angle_gamma 120.00
_space_group_name_H-M_alt 'P 1'
_space_group_IT_number 1
loop_
_space_group_symop_operation_xyz
'x,y,z'
loop_
_atom_site_label
_atom_site_type_symbol
_atom_site_fract_x
_atom_site_fract_y
_atom_site_fract_z
Pa1 Pa 0.333 0.667 0.250
Pa2 Pa 0.667 0.333 0.750
Tl1 Tl 0.000 0.000 0.000
Tl2 Tl 0.000 0.000 0.500
Ga1 Ga 0.333 0.667 0.750
Ga2 Ga 0.667 0.333 0.250
Br1 Br 0.030 0.377 0.134
Br2 Br 0.030 0.653 0.366
Br3 Br 0.347 0.377 0.366
Br4 Br 0.347 0.970 0.134
Br5 Br 0.377 0.030 0.634
Br6 Br 0.377 0.347 0.866
Br7 Br 0.623 0.653 0.134
Br8 Br 0.623 0.970 0.366
Br9 Br 0.653 0.030 0.866
Br10 Br 0.653 0.623 0.634
Br11 Br 0.970 0.347 0.634
Br12 Br 0.970 0.623 0.866
# E_form (uncorrected) = -1.156 eV per atom

---

# 4
# GaPb2Br | the Alexandria database | PBE | optimized geometry
data_GaPb2Br
_cell_length_a 6.550
_cell_length_b 6.550
_cell_length_c 14.901
_cell_angle_alpha 90.00
_cell_angle_beta 90.00
_cell_angle_gamma 90.00
_space_group_name_H-M_alt 'P 1'
_space_group_IT_number 1
loop_
_space_group_symop_operation_xyz
'x,y,z'
loop_
_atom_site_label
_atom_site_type_symbol
_atom_site_fract_x
_atom_site_fract_y
_atom_site_fract_z
Ga1 Ga 0.000 0.000 0.000
Ga2 Ga 0.000 0.500 0.250
Ga3 Ga 0.500 0.000 0.750
Ga4 Ga 0.500 0.500 0.500
Pb1 Pb 0.210 0.250 0.125
Pb2 Pb 0.250 0.710 0.375
Pb3 Pb 0.250 0.790 0.875
Pb4 Pb 0.290 0.250 0.625
Pb5 Pb 0.710 0.750 0.625
Pb6 Pb 0.750 0.210 0.875
Pb7 Pb 0.750 0.290 0.375
Pb8 Pb 0.790 0.750 0.125
Br1 Br 0.000 0.000 0.500
Br2 Br 0.000 0.500 0.750
Br3 Br 0.500 0.000 0.250
Br4 Br 0.500 0.500 0.000
# Relative energy among the computed polymorphs = 22.9 kJ/mol of atoms
# E_form (uncorrected) = 0.085 eV per atom

---

# 5
# Ga2Pb5Br12 | the Alexandria database | PBE | optimized geometry
data_Ga2Pb5Br12
_cell_length_a 9.565
_cell_length_b 9.565
_cell_length_c 9.932
_cell_angle_alpha 104.53
_cell_angle_beta 104.53
_cell_angle_gamma 48.40
_space_group_name_H-M_alt 'P 1'
_space_group_IT_number 1
loop_
_space_group_symop_operation_xyz
'x,y,z'
loop_
_atom_site_label
_atom_site_type_symbol
_atom_site_fract_x
_atom_site_fract_y
_atom_site_fract_z
Ga1 Ga 0.235 0.765 0.000
Ga2 Ga 0.765 0.235 0.000
Pb1 Pb 0.178 0.178 0.831
Pb2 Pb 0.186 0.186 0.346
Pb3 Pb 0.500 0.500 0.500
Pb4 Pb 0.814 0.814 0.654
Pb5 Pb 0.822 0.822 0.169
Br1 Br 0.004 0.004 0.272
Br2 Br 0.063 0.579 0.899
Br3 Br 0.103 0.591 0.429
Br4 Br 0.409 0.897 0.571
Br5 Br 0.421 0.937 0.101
Br6 Br 0.489 0.489 0.198
Br7 Br 0.511 0.511 0.802
Br8 Br 0.579 0.063 0.899
Br9 Br 0.591 0.103 0.429
Br10 Br 0.897 0.409 0.571
Br11 Br 0.937 0.421 0.101
Br12 Br 0.996 0.996 0.728
# E_form (uncorrected) = -0.784 eV per atom

---

# 6
# Ga2PbBr | the Alexandria database | PBE | optimized geometry
data_Ga2PbBr
_cell_length_a 7.414
_cell_length_b 7.414
_cell_length_c 7.414
_cell_angle_alpha 90.00
_cell_angle_beta 90.00
_cell_angle_gamma 90.00
_space_group_name_H-M_alt 'P 1'
_space_group_IT_number 1
loop_
_space_group_symop_operation_xyz
'x,y,z'
loop_
_atom_site_label
_atom_site_type_symbol
_atom_site_fract_x
_atom_site_fract_y
_atom_site_fract_z
Ga1 Ga 0.250 0.250 0.250
Ga2 Ga 0.250 0.250 0.750
Ga3 Ga 0.250 0.750 0.250
Ga4 Ga 0.250 0.750 0.750
Ga5 Ga 0.750 0.250 0.250
Ga6 Ga 0.750 0.250 0.750
Ga7 Ga 0.750 0.750 0.250
Ga8 Ga 0.750 0.750 0.750
Pb1 Pb 0.000 0.000 0.000
Pb2 Pb 0.000 0.500 0.500
Pb3 Pb 0.500 0.000 0.500
Pb4 Pb 0.500 0.500 0.000
Br1 Br 0.000 0.000 0.500
Br2 Br 0.000 0.500 0.000
Br3 Br 0.500 0.000 0.000
Br4 Br 0.500 0.500 0.500
# Relative energy among the computed polymorphs = 0.0 kJ/mol of atoms
# E_form (uncorrected) = 0.042 eV per atom